(1)
VASP calculation (PBE) on a relaxed structure of InTe2Au.

Calculated values
The crystal system is orthorhombic. For the mass density, the calculation gives 6.93 Mg/m³. The value obtained for the volume is 33.96 Å³/atom. Its total energy is -3.3192 eV/atom.

a = 6.3426 Å, b = 13.4712 Å, c = 6.3599 Å
α = 90.00°, β = 90.00°, γ = 90.00°
Fractional positions:
Te1 0.2874 0.3824 0.5385
Te2 0.2126 0.1176 0.0385
Te3 0.2126 0.8824 0.5385
Te4 0.7874 0.8824 0.9615
Te5 0.7874 0.1176 0.4615
Te6 0.7126 0.6176 0.4615
Te7 0.2874 0.6176 0.0385
Te8 0.7126 0.3824 0.9615
In1 0.5000 0.2504 0.2500
In2 0.0000 0.2496 0.7500
In3 0.5000 0.7496 0.7500
In4 0.0000 0.7504 0.2500
Au1 0.0000 0.4043 0.2500
Au2 0.0000 0.5957 0.7500
Au3 0.5000 0.9043 0.2500
Au4 0.5000 0.0957 0.7500


(2)
VASP calculation (PBE) on a relaxed structure of InTe2Au.

Calculated values
The crystal system is monoclinic. For the mass density, the calculation gives 6.81 Mg/m³. The value obtained for the volume is 34.57 Å³/atom. Its total energy is -3.3272 eV/atom.

a = 8.3200 Å, b = 8.3200 Å, c = 6.2562 Å
α = 111.92°, β = 111.92°, γ = 44.25°
Fractional positions:
Au1 0.7514 0.4541 0.6041
Au2 0.5459 0.2486 0.3959
In1 0.3985 0.1015 0.7500
In2 0.8985 0.6015 0.2500
Te1 0.4789 0.7663 0.3311
Te2 0.0636 0.1815 0.9163
Te3 0.8185 0.9364 0.0837
Te4 0.2337 0.5211 0.6689


(3)
VASP calculation (PBE) on a relaxed structure of TmInTe3Au.

Calculated values
The crystal system is orthorhombic. For the mass density, the calculation gives 8.25 Mg/m³. The value obtained for the volume is 28.98 Å³/atom. The value obtained for the magnetization is 0.01 μB per formula unit. Its total energy is -3.9578 eV/atom.

a = 7.8609 Å, b = 7.8609 Å, c = 11.0645 Å
α = 90.00°, β = 90.00°, γ = 149.42°
Fractional positions:
Tm1 0.5000 0.5000 0.5000
Tm2 0.5000 0.5000 0.0000
Te1 0.4063 0.5937 0.7500
Te2 0.1435 0.8565 0.5536
Te3 0.8565 0.1435 0.4464
Te4 0.5937 0.4063 0.2500
Te5 0.1435 0.8565 0.9464
Te6 0.8565 0.1435 0.0536
In1 0.7313 0.2687 0.7500
In2 0.2687 0.7313 0.2500
Au1 0.9714 0.0286 0.2500
Au2 0.0286 0.9714 0.7500


(4)
VASP calculation (PBE) on a relaxed structure of ZrInTe4Au3.

Calculated values
The crystal system is cubic. For the mass density, the calculation gives 7.18 Mg/m³. The value obtained for the volume is 33.58 Å³/atom. For the energy above the lowest structure with this stoichiometry, the calculation gives 0.00 eV per formula unit. The value obtained for the magnetization is 0.00 μB per formula unit. Its total energy is -4.0359 eV/atom.

a = 6.7107 Å, b = 6.7107 Å, c = 6.7107 Å
α = 90.00°, β = 90.00°, γ = 90.00°
Fractional positions:
Te1 0.2637 0.7363 0.7363
Te2 0.2637 0.2637 0.2637
Te3 0.7363 0.7363 0.2637
Te4 0.7363 0.2637 0.7363
Au1 0.5000 0.5000 0.0000
Au2 0.5000 0.0000 0.5000
Au3 0.0000 0.5000 0.5000
In1 0.0000 0.0000 0.0000
Zr1 0.5000 0.5000 0.5000


(5)
VASP calculation (PBE) on a relaxed structure of ZrInTe3Au.

Calculated values
The crystal system is orthorhombic. For the mass density, the calculation gives 7.74 Mg/m³. The value obtained for the volume is 28.09 Å³/atom. For the energy above the lowest structure with this stoichiometry, the calculation gives 0.00 eV per formula unit. The value obtained for the magnetization is 0.00 μB per formula unit. Its total energy is -4.4876 eV/atom.

a = 7.8881 Å, b = 7.8881 Å, c = 10.8464 Å
α = 90.00°, β = 90.00°, γ = 150.03°
Fractional positions:
In1 0.2313 0.7687 0.2500
In2 0.7687 0.2313 0.7500
Te1 0.3607 0.6393 0.5411
Te2 0.6393 0.3607 0.4589
Te3 0.9145 0.0855 0.2500
Te4 0.0855 0.9145 0.7500
Te5 0.3607 0.6393 0.9589
Te6 0.6393 0.3607 0.0411
Zr1 0.0000 0.0000 0.5000
Zr2 0.0000 0.0000 0.0000
Au1 0.5374 0.4626 0.2500
Au2 0.4626 0.5374 0.7500


(6)
VASP calculation (PBE) on a relaxed structure of ZrInTe4Au3.

Calculated values
The crystal system is monoclinic. For the mass density, the calculation gives 7.97 Mg/m³. The value obtained for the volume is 30.25 Å³/atom. For the energy above the lowest structure with this stoichiometry, the calculation gives 0.24 eV per formula unit. The value obtained for the magnetization is 0.01 μB per formula unit. Its total energy is -4.0093 eV/atom.

a = 6.4524 Å, b = 8.2443 Å, c = 10.6254 Å
α = 90.00°, β = 105.59°, γ = 90.00°
Fractional positions:
In1 0.2650 0.2500 0.4544
In2 0.7350 0.7500 0.5456
Te1 0.6464 0.4739 0.2409
Te2 0.9253 0.7500 0.9344
Te3 0.3536 0.5261 0.7591
Te4 0.6464 0.0261 0.2409
Te5 0.3536 0.9739 0.7591
Te6 0.0747 0.2500 0.0656
Te7 0.8196 0.2500 0.5701
Te8 0.1804 0.7500 0.4299
Au1 0.6028 0.2500 0.7569
Au2 0.7094 0.0465 0.9861
Au3 0.2906 0.9535 0.0139
Au4 0.2906 0.5465 0.0139
Au5 0.7094 0.4535 0.9861
Au6 0.3972 0.7500 0.2431
Zr1 0.1350 0.2500 0.8104
Zr2 0.8650 0.7500 0.1896


(7)
VASP calculation (PBE) on a relaxed structure of ZrInTe3Au.

Calculated values
The crystal system is orthorhombic. For the mass density, the calculation gives 7.60 Mg/m³. The value obtained for the volume is 28.62 Å³/atom. For the energy above the lowest structure with this stoichiometry, the calculation gives 0.29 eV per formula unit. The value obtained for the magnetization is 0.00 μB per formula unit. Its total energy is -4.4394 eV/atom.

a = 4.1705 Å, b = 12.5209 Å, c = 13.1557 Å
α = 90.00°, β = 90.00°, γ = 90.00°
Fractional positions:
Te1 0.7500 0.6658 0.2627
Te2 0.7500 0.8342 0.7627
Te3 0.7500 0.3403 0.4870
Te4 0.7500 0.0710 0.5819
Te5 0.2500 0.3342 0.7373
Te6 0.2500 0.5710 0.9181
Te7 0.2500 0.9290 0.4181
Te8 0.2500 0.8403 0.0130
Te9 0.7500 0.4290 0.0819
Te10 0.7500 0.1597 0.9870
Te11 0.2500 0.6597 0.5130
Te12 0.2500 0.1658 0.2373
In1 0.2500 0.4748 0.3091
In2 0.7500 0.9748 0.1909
In3 0.2500 0.0252 0.8091
In4 0.7500 0.5252 0.6909
Zr1 0.2500 0.3234 0.9496
Zr2 0.2500 0.1766 0.4496
Zr3 0.7500 0.6766 0.0504
Zr4 0.7500 0.8234 0.5504
Au1 0.7500 0.1879 0.7770
Au2 0.2500 0.6879 0.7230
Au3 0.7500 0.3121 0.2770
Au4 0.2500 0.8121 0.2230


(8)
VASP calculation (PBE) on a relaxed structure of Tl3InAu2.

Calculated values
The crystal system is tetragonal. For the mass density, the calculation gives 11.53 Mg/m³. The value obtained for the volume is 26.92 Å³/atom. Its total energy is -2.8067 eV/atom.

a = 4.8533 Å, b = 4.8533 Å, c = 6.8569 Å
α = 90.00°, β = 90.00°, γ = 90.00°
Fractional positions:
Tl1 0.0000 0.0000 0.0000
Tl2 0.0000 0.0000 0.5000
Tl3 0.5000 0.5000 0.5000
Au1 0.0000 0.5000 0.2399
Au2 0.5000 0.0000 0.7601
In1 0.5000 0.5000 0.0000


(9)
VASP calculation (PBE) on a relaxed structure of TlIn3Au2.

Calculated values
The crystal system is tetragonal. For the mass density, the calculation gives 10.37 Mg/m³. The value obtained for the volume is 25.16 Å³/atom. Its total energy is -3.0234 eV/atom.

a = 4.7466 Å, b = 4.7466 Å, c = 6.7002 Å
α = 90.00°, β = 90.00°, γ = 90.00°
Fractional positions:
In1 0.5000 0.5000 0.0000
In2 0.0000 0.0000 0.5000
In3 0.5000 0.5000 0.5000
Tl1 0.0000 0.0000 0.0000
Au1 0.0000 0.5000 0.2623
Au2 0.5000 0.0000 0.7377


(10)
VASP calculation (PBE) on a relaxed structure of Tl4In3Au4.

Calculated values
The crystal system is hexagonal. For the mass density, the calculation gives 11.62 Mg/m³. The value obtained for the volume is 25.32 Å³/atom. Its total energy is -2.9047 eV/atom.

a = 8.4241 Å, b = 8.4241 Å, c = 4.5324 Å
α = 90.00°, β = 90.00°, γ = 120.00°
Fractional positions:
Tl1 0.0000 0.0000 0.0000
Tl2 0.8134 0.6268 0.5000
Tl3 0.8134 0.1866 0.5000
Tl4 0.3732 0.1866 0.5000
Au1 0.2142 0.7858 0.5000
Au2 0.6667 0.3333 0.0000
Au3 0.2142 0.4283 0.5000
Au4 0.5717 0.7858 0.5000
In1 0.4676 0.5324 0.0000
In2 0.4676 0.9352 0.0000
In3 0.0648 0.5324 0.0000


(11)
VASP calculation (PBE) on a relaxed structure of TlIn2Au.

Calculated values
The crystal system is cubic. For the mass density, the calculation gives 10.60 Mg/m³. The value obtained for the volume is 24.70 Å³/atom. Its total energy is -2.7318 eV/atom.

a = 5.1894 Å, b = 5.1894 Å, c = 5.1894 Å
α = 60.00°, β = 60.00°, γ = 60.00°
Fractional positions:
In1 0.7500 0.7500 0.7500
In2 0.0000 0.0000 0.0000
Tl1 0.5000 0.5000 0.5000
Au1 0.2500 0.2500 0.2500


(12)
VASP calculation (PBE) on a relaxed structure of Tm2InAu.

Calculated values
The crystal system is tetragonal. For the mass density, the calculation gives 11.24 Mg/m³. The value obtained for the volume is 24.00 Å³/atom. The value obtained for the magnetization is 0.00 μB per formula unit. Its total energy is -4.4053 eV/atom.

a = 3.5611 Å, b = 3.5611 Å, c = 7.5699 Å
α = 90.00°, β = 90.00°, γ = 90.00°
Fractional positions:
Tm1 0.0000 0.0000 0.2304
Tm2 0.0000 0.0000 0.7696
Au1 0.5000 0.5000 0.0000
In1 0.5000 0.5000 0.5000